# GGA-PBE CaHfN2, optimized geometry
# **Final energy**: -0.5565 Ry per atom
# **DOS at the Fermi energy**: 0.519 states/eV/f.u.
# **Calculated density**: 8.62 g/cm³
data_CaHfN2
_cell_length_a 5.750
_cell_length_b 5.750
_cell_length_c 5.750
_cell_angle_alpha 90.00
_cell_angle_beta 90.00
_cell_angle_gamma 90.00
_symmetry_space_group_name_H-M 'F m -3 m'
_symmetry_Int_Tables_number 225
_symmetry_space_group_name_Hall '-F 4 2 3'
loop_
_atom_site_label
_atom_site_type_symbol
_atom_site_fract_x
_atom_site_fract_y
_atom_site_fract_z
_atom_site_occupancy
Ca1 Ca 0.000 0.000 0.000 1
Hf1 Hf 0.000 0.000 0.500 1
N1 N 0.250 0.250 0.250 1


# GGA-PBE CaHf2N, optimized geometry
# **Final energy**: -0.5978 Ry per atom
# **DOS at the Fermi energy**: 2.527 states/eV/f.u.
# **Calculated density**: 8.44 g/cm³
data_CaHf2N
_cell_length_a 3.2910
_cell_length_b 3.2910
_cell_length_c 25.8639
_cell_angle_alpha 90.00
_cell_angle_beta 90.00
_cell_angle_gamma 120.00
_symmetry_space_group_name_H-M 'R -3 m'
_symmetry_Int_Tables_number 166
_symmetry_space_group_name_Hall '-R 3 2"'
loop_
_atom_site_label
_atom_site_type_symbol
_atom_site_fract_x
_atom_site_fract_y
_atom_site_fract_z
_atom_site_occupancy
Ca1 Ca 0.0000 0.0000 0.0000 1
Hf1 Hf 0.0000 0.0000 0.1209 1
N1 N 0.0000 0.0000 0.5000 1


| no. | ΔE_f (raw) (eV per atom) |
| --- | --- |
| 1 | -0.4202 |
| 2 | -0.5753 |